No. 1
# BaBH2 | the Alexandria database | PBE-GGA | relaxed
data_BaBH2
_space_group_name_H-M_alt 'F m -3 m'
_space_group_IT_number 225
_space_group_name_Hall '-F 4 2 3'
_cell_length_a 6.1807
_cell_length_b 6.1807
_cell_length_c 6.1807
_cell_angle_alpha 90.00
_cell_angle_beta 90.00
_cell_angle_gamma 90.00
loop_
_atom_site_label
_atom_site_type_symbol
_atom_site_fract_x
_atom_site_fract_y
_atom_site_fract_z
Ba1 Ba 0.0000 0.0000 0.0000
B1 B 0.0000 0.0000 0.5000
H1 H 0.2500 0.2500 0.2500
# Total energy ... -0.226 Ry/atom
# DOS at the Fermi energy ... 0.570 states/eV per atom

***

No. 2
# KSnAs2O8 | the Alexandria database | PBE-GGA | relaxed
data_KSnAs2O8
_space_group_name_H-M_alt 'R 3 2'
_space_group_IT_number 155
_space_group_name_Hall 'R 3 2"'
_cell_length_a 5.1080
_cell_length_b 5.1080
_cell_length_c 26.3454
_cell_angle_alpha 90.00
_cell_angle_beta 90.00
_cell_angle_gamma 120.00
loop_
_atom_site_label
_atom_site_type_symbol
_atom_site_fract_x
_atom_site_fract_y
_atom_site_fract_z
K1 K 0.0000 0.0000 0.0000
Sn1 Sn 0.0000 0.0000 0.5000
As1 As 0.0000 0.0000 0.2384
O1 O 0.0000 0.0000 0.3026
O2 O 0.0023 0.3671 0.1164
# Energy relative to the elements, uncorrected ... -1240 meV/atom
# DOS at the Fermi energy ... 0.553 states/eV per atom

***

No. 3
# CeScCo | the Alexandria database | PBE-GGA | relaxed
data_CeScCo
_space_group_name_H-M_alt 'P 1 21/m 1'
_space_group_IT_number 11
_space_group_name_Hall '-P 2yb'
_cell_length_a 4.8257
_cell_length_b 4.9693
_cell_length_c 5.4510
_cell_angle_alpha 90.00
_cell_angle_beta 90.10
_cell_angle_gamma 90.00
loop_
_atom_site_label
_atom_site_type_symbol
_atom_site_fract_x
_atom_site_fract_y
_atom_site_fract_z
Ce1 Ce 0.0007 0.2500 0.3176
Sc1 Sc 0.4990 0.7500 0.1710
Co1 Co 0.4989 0.7500 0.6547
# ΔE_f ... -287 meV per atom
# DOS at the Fermi energy ... 1.129 states/eV per atom

***

No. 4
# BeHF2 | the Alexandria database | PBE-GGA | relaxed
data_BeHF2
_space_group_name_H-M_alt 'I -4 2 d'
_space_group_IT_number 122
_space_group_name_Hall 'I -4 2bw'
_cell_length_a 5.1017
_cell_length_b 5.1017
_cell_length_c 7.2273
_cell_angle_alpha 90.00
_cell_angle_beta 90.00
_cell_angle_gamma 90.00
loop_
_atom_site_label
_atom_site_type_symbol
_atom_site_fract_x
_atom_site_fract_y
_atom_site_fract_z
Be1 Be 0.0000 0.0000 0.0000
H1 H 0.0000 0.0000 0.5000
F1 F 0.0041 0.2500 0.1250
# Total energy ... -0.337 Ry/atom
# DOS at the Fermi energy ... 0.000 states/eV per atom

***

No. 5
# TlSeO2 | the Alexandria database | PBE-GGA | relaxed
data_TlSeO2
_space_group_name_H-M_alt 'R -3 m'
_space_group_IT_number 166
_space_group_name_Hall '-R 3 2"'
_cell_length_a 3.2768
_cell_length_b 3.2768
_cell_length_c 21.9004
_cell_angle_alpha 90.00
_cell_angle_beta 90.00
_cell_angle_gamma 120.00
loop_
_atom_site_label
_atom_site_type_symbol
_atom_site_fract_x
_atom_site_fract_y
_atom_site_fract_z
Tl1 Tl 0.0000 0.0000 0.0000
Se1 Se 0.0000 0.0000 0.5000
O1 O 0.0000 0.0000 0.1204
# Energy relative to the elements, uncorrected ... -225 meV/atom
# DOS at the Fermi energy ... 0.306 states/eV per atom

***

No. 6
# KY2Cu | the Alexandria database | PBE-GGA | relaxed
data_KY2Cu
_space_group_name_H-M_alt 'F -4 3 m'
_space_group_IT_number 216
_space_group_name_Hall 'F -4 2 3'
_cell_length_a 7.8374
_cell_length_b 7.8374
_cell_length_c 7.8374
_cell_angle_alpha 90.00
_cell_angle_beta 90.00
_cell_angle_gamma 90.00
loop_
_atom_site_label
_atom_site_type_symbol
_atom_site_fract_x
_atom_site_fract_y
_atom_site_fract_z
K1 K 0.0000 0.0000 0.0000
Y1 Y 0.0000 0.0000 0.5000
Y2 Y 0.2500 0.2500 0.7500
Cu1 Cu 0.2500 0.2500 0.2500
# ΔE_f ... 719 meV per atom
# DOS at the Fermi energy ... 1.198 states/eV per atom

***

No. 7
# LaCo | the Alexandria database | PBE-GGA | relaxed
data_LaCo
_space_group_name_H-M_alt 'I -4 3 m'
_space_group_IT_number 217
_space_group_name_Hall 'I -4 2 3'
_cell_length_a 7.7972
_cell_length_b 7.7972
_cell_length_c 7.7972
_cell_angle_alpha 90.00
_cell_angle_beta 90.00
_cell_angle_gamma 90.00
loop_
_atom_site_label
_atom_site_type_symbol
_atom_site_fract_x
_atom_site_fract_y
_atom_site_fract_z
La1 La 0.2227 0.2227 0.7773
Co1 Co 0.1120 0.1120 0.1120
# ΔE_f ... 211 meV per atom
# DOS at the Fermi energy ... 0.348 states/eV per atom

***

No. 8
# Ac5Tl2In | the Alexandria database | PBE-GGA | relaxed
data_Ac5Tl2In
_space_group_name_H-M_alt 'I 4/m c m'
_space_group_IT_number 140
_space_group_name_Hall '-I 4 2c'
_cell_length_a 8.7338
_cell_length_b 8.7338
_cell_length_c 16.1024
_cell_angle_alpha 90.00
_cell_angle_beta 90.00
_cell_angle_gamma 90.00
loop_
_atom_site_label
_atom_site_type_symbol
_atom_site_fract_x
_atom_site_fract_y
_atom_site_fract_z
Ac1 Ac 0.0000 0.0000 0.0000
Ac2 Ac 0.1687 0.3313 0.1508
Tl1 Tl 0.1262 0.3738 0.5000
In1 In 0.0000 0.0000 0.2500
# ΔE_f ... -290 meV per atom
# DOS at the Fermi energy ... 1.008 states/eV per atom